1.
{"formula": "LiCrRh2", "functional": "PBE", "state": "optimized geometry", "formation_energy_ev_per_atom": 0.025, "sg": "No. 65", "lattice": [[2.793, 0.000, 0.000], [0.000, 4.480, 0.000], [0.000, 0.000, 8.602]], "species": ["Li", "Li", "Cr", "Cr", "Rh", "Rh", "Rh", "Rh"], "fractional_positions": [[0.000, 0.000, 0.000], [0.500, 0.500, 0.000], [0.000, 0.000, 0.500], [0.500, 0.500, 0.500], [0.000, 0.500, 0.257], [0.000, 0.500, 0.743], [0.500, 0.000, 0.257], [0.500, 0.000, 0.743]]}



2.
{"formula": "LiCrRh2", "functional": "PBE", "state": "optimized geometry", "formation_energy_ev_per_atom": 0.222, "sg": "No. 99", "lattice": [[2.664, 0.000, 0.000], [0.000, 2.664, 0.000], [0.000, 0.000, 7.665]], "species": ["Li", "Cr", "Rh", "Rh"], "fractional_positions": [[0.000, 0.000, 0.000], [0.500, 0.500, 0.727], [0.000, 0.000, 0.506], [0.500, 0.500, 0.239]]}



3.
{"formula": "LiCr2Rh", "functional": "PBE", "state": "optimized geometry", "formation_energy_ev_per_atom": 0.256, "sg": "No. 123", "lattice": [[3.366, 0.000, 0.000], [0.000, 3.366, 0.000], [0.000, 0.000, 4.249]], "species": ["Li", "Cr", "Cr", "Rh"], "fractional_positions": [[0.000, 0.000, 0.000], [0.000, 0.500, 0.500], [0.500, 0.000, 0.500], [0.500, 0.500, 0.000]]}



4.
{"formula": "LiCr2Rh", "functional": "PBE", "state": "optimized geometry", "formation_energy_ev_per_atom": 0.353, "sg": "No. 123", "lattice": [[4.339, 0.000, 0.000], [0.000, 4.339, 0.000], [0.000, 0.000, 2.935]], "species": ["Li", "Cr", "Cr", "Rh"], "fractional_positions": [[0.000, 0.000, 0.000], [0.000, 0.500, 0.500], [0.500, 0.000, 0.500], [0.500, 0.500, 0.000]]}